# 1
The following is a PBE calculation of an optimized crystal structure of SmYBr2NCl, from the Open Quantum Materials Database.

Unit cell a=18.3273 b=3.9031 c=11.5631 alpha=90.00 beta=125.24 gamma=90.00
Space group C2/m (No. 12)
Unique sites:
Sm 0.1389 0.0000 0.2918
Y 0.0742 0.5000 0.9598
Br 0.0374 0.0000 0.7459
Br 0.2163 0.0000 0.1201
N 0.0745 0.5000 0.1536
Cl 0.1731 0.5000 0.5072

Computed properties:
The energy above the lowest structure with this stoichiometry comes out at 8 meV per atom.

***

# 2
The following is a PBE calculation of an optimized crystal structure of RbSiPt3, from the Open Quantum Materials Database.

Unit cell a=6.1079 b=6.1079 c=5.9601 alpha=90.00 beta=90.00 gamma=120.00
Space group P6/mmm (No. 191)
Unique sites:
Rb 0.0000 0.0000 0.0000
Rb 0.0000 0.0000 0.5000
Si 0.3333 0.6667 0.0000
Pt 0.0000 0.5000 0.2673

Computed properties:
The value obtained for the final energy is -5.2878 eV/atom.

***

# 3
The following is a PBE calculation of an optimized crystal structure of NaLuCdSe3, from the Open Quantum Materials Database.

Unit cell a=11.0029 b=4.1053 c=13.7460 alpha=90.00 beta=90.00 gamma=90.00
Space group Pnma (No. 62)
Unique sites:
Na 0.2181 0.2500 0.0053
Lu 0.0139 0.7500 0.7412
Cd 0.2362 0.7500 0.2172
Se 0.0330 0.7500 0.1199
Se 0.0722 0.2500 0.6076
Se 0.2328 0.2500 0.3394

Computed properties:
The energy above the lowest structure with this stoichiometry comes out at 20 meV per atom.